VASP calculation (GGA-PBEsol) on a relaxed Fe2CuSiIr crystal.

Values from the calculation:
ΔE_f (raw)	1.304	eV/atom
calculated total energy	-6.26	eV per atom
D(E_F)	4.9	states/eV per cell

Unit cell a=4.1704 b=4.1704 c=4.5235 alpha=90.00 beta=90.00 gamma=90.00
With the nearest neighbours (Å) after each atom.
Fractional coordinates of all 5 atoms:
Fe 0.0000 0.5000 0.0000  2 Cu 2.09
Fe 0.5000 0.0000 0.0000  2 Cu 2.09
Cu 0.0000 0.0000 0.0000  4 Fe 2.09, 2 Ir 2.26
Si 0.5000 0.5000 0.5000  4 Ir 2.95, 8 Fe 3.08
Ir 0.0000 0.0000 0.5000  2 Cu 2.26